# 1
# FeNiRh2 (PBE, optimized geometry)
# **Formation energy from the elements**: 13 meV/atom
# **Symmetry**: Cm, No. 8
# **N(E_F)**: 6.11 states/eV per cell
# **Total energy**: -28.89 eV per cell
data_FeNiRh2
_symmetry_space_group_name_H-M 'P 1'
_symmetry_Int_Tables_number 1
_cell_length_a 4.608
_cell_length_b 4.608
_cell_length_c 4.520
_cell_angle_alpha 79.03
_cell_angle_beta 79.03
_cell_angle_gamma 33.83
loop_
_symmetry_equiv_pos_as_xyz
'x,y,z'
loop_
_atom_site_label
_atom_site_fract_x
_atom_site_fract_y
_atom_site_fract_z
_atom_site_occupancy
Fe1 0.504 0.504 0.494 1
Rh1 0.752 0.752 0.746 1
Rh2 0.998 0.998 0.006 1
Ni1 0.246 0.246 0.254 1

=====

# 2
# FeNiRh2 (PBE, optimized geometry)
# **Formation energy from the elements**: 24 meV/atom
# **Symmetry**: P4mm, No. 99
# **N(E_F)**: 5.95 states/eV per cell
# **Total energy**: -28.85 eV per cell
data_FeNiRh2
_symmetry_space_group_name_H-M 'P 1'
_symmetry_Int_Tables_number 1
_cell_length_a 2.676
_cell_length_b 2.676
_cell_length_c 7.248
_cell_angle_alpha 90.00
_cell_angle_beta 90.00
_cell_angle_gamma 89.98
loop_
_symmetry_equiv_pos_as_xyz
'x,y,z'
loop_
_atom_site_label
_atom_site_fract_x
_atom_site_fract_y
_atom_site_fract_z
_atom_site_occupancy
Fe1 0.000 0.000 0.512 1
Ni1 0.500 0.500 0.739 1
Rh1 0.000 0.000 0.991 1
Rh2 0.500 0.500 0.258 1

=====

# 3
# FeNi8Rh6 (PBE, optimized geometry)
# **Formation energy from the elements**: 107 meV/atom
# **Symmetry**: R-3, No. 148
# **N(E_F)**: 22.73 states/eV per cell
# **Total energy**: -97.22 eV per cell
data_FeNi8Rh6
_symmetry_space_group_name_H-M 'P 1'
_symmetry_Int_Tables_number 1
_cell_length_a 6.411
_cell_length_b 6.411
_cell_length_c 6.411
_cell_angle_alpha 61.14
_cell_angle_beta 61.14
_cell_angle_gamma 61.14
loop_
_symmetry_equiv_pos_as_xyz
'x,y,z'
loop_
_atom_site_label
_atom_site_fract_x
_atom_site_fract_y
_atom_site_fract_z
_atom_site_occupancy
Rh1 0.547 0.264 0.065 1
Rh2 0.736 0.935 0.453 1
Rh3 0.065 0.547 0.264 1
Rh4 0.935 0.453 0.736 1
Rh5 0.453 0.736 0.935 1
Rh6 0.264 0.065 0.547 1
Ni1 0.116 0.673 0.800 1
Ni2 0.800 0.116 0.673 1
Ni3 0.884 0.327 0.200 1
Ni4 0.327 0.200 0.884 1
Ni5 0.576 0.576 0.576 1
Ni6 0.673 0.800 0.116 1
Ni7 0.424 0.424 0.424 1
Ni8 0.200 0.884 0.327 1
Fe1 0.000 0.000 0.000 1